Record 1
## CuSbAs (PBEsol)

Data for a geometry-optimized CuSbAs structure.

a b c (Å): 3.2703 3.2703 5.9605
angles (deg): 105.92 105.92 90.00
Fractional coordinates of all 3 atoms:
As: 0.0511 0.0511 0.1022
Cu: 0.6413 0.6413 0.2826
Sb: 0.3076 0.3076 0.6152

The calculation puts the energy relative to the lowest polymorph listed for this composition at 0.000 eV/atom. The energy relative to the elements, uncorrected is 5.29 kcal/mol of atoms.

---

Record 2
## Sc2CuAs (PBEsol)

Data for a geometry-optimized Sc2CuAs structure.

a b c (Å): 3.2470 3.2470 7.1895
angles (deg): 90.00 90.00 99.65
Fractional coordinates of all 4 atoms:
As: 0.0000 0.0000 0.4618
Cu: 0.5000 0.5000 0.2800
Sc: 0.0000 0.0000 0.0516
Sc: 0.5000 0.5000 0.7067

---

Record 3
## Sc2CuAs (PBEsol)

Data for a geometry-optimized Sc2CuAs structure.

a b c (Å): 3.4814 4.4468 4.4468
angles (deg): 90.00 90.00 90.00
Fractional coordinates of all 4 atoms:
As: 0.5000 0.0000 0.0000
Cu: 0.5000 0.5000 0.5000
Sc: 0.0000 0.0000 0.5000
Sc: 0.0000 0.5000 0.0000

---

Record 4
## Sc2CuAs (PBEsol)

Data for a geometry-optimized Sc2CuAs structure.

a b c (Å): 3.2244 3.2244 7.1208
angles (deg): 90.00 90.00 90.00
Fractional coordinates of all 4 atoms:
As: 0.0000 0.0000 0.5431
Cu: 0.5000 0.5000 0.7228
Sc: 0.0000 0.0000 0.9450
Sc: 0.5000 0.5000 0.2890

---

Record 5
## CuAsSe2 (PBEsol)

Data for a geometry-optimized CuAsSe2 structure.

a b c (Å): 3.5212 4.1459 6.0405
angles (deg): 110.07 106.95 90.00
Fractional coordinates of all 4 atoms:
As: 0.5000 0.0000 0.0000
Cu: 0.0000 0.5000 0.0000
Se: 0.3387 0.3387 0.6775
Se: 0.6613 0.6613 0.3225

The energy relative to the elements, uncorrected is 2.02 kcal/mol of atoms.

---

Record 6
## CuAsSe2 (PBEsol)

Data for a geometry-optimized CuAsSe2 structure.

a b c (Å): 3.4342 3.4781 7.2575
angles (deg): 103.86 103.69 90.00
Fractional coordinates of all 4 atoms:
As: 0.5638 0.5638 0.1276
Cu: 0.2180 0.7180 0.4359
Se: 0.9784 0.9784 0.9568
Se: 0.7398 0.2398 0.4797

The energy relative to the elements, uncorrected is 2.71 kcal/mol of atoms.

---

Calculated magnetic moment, 0.00, 0.00, 0.00, 0.00, 0.00, 0.00 μB per formula unit (same order as the records).
Calculated E_tot, -0.3261, -0.4379, -0.4651, -0.4375, -0.3085, -0.3063 Ry per atom (same order as the records).